The following is a DFT calculation (PBE) of an optimized crystal structure of NdAl3PdPt.

Lattice parameters (Å, degrees): 7.3390 7.3390 5.6823 90.00 90.00 130.94
With the nearest neighbours (Å) after each atom.
Positions (direct):
Nd 0.2045 0.7955 0.7500  1 Pt 2.77, 2 Pd 2.95
Nd 0.7955 0.2045 0.2500  1 Pt 2.77, 2 Pd 2.95
Al 0.2177 0.2177 0.0000  2 Pt 2.52, 1 Al 2.65, 2 Pd 2.75
Al 0.2177 0.2177 0.5000  2 Pt 2.52, 1 Al 2.65, 2 Pd 2.75
Al 0.3633 0.6367 0.2500  4 Al 2.88, 1 Pd 2.90, 3 Pt 2.92-3.00, 2 Nd 3.18
Al 0.6367 0.3633 0.7500  4 Al 2.88, 1 Pd 2.90, 3 Pt 2.92-3.00, 2 Nd 3.18
Al 0.7823 0.7823 0.0000  2 Pt 2.52, 1 Al 2.65, 2 Pd 2.75
Al 0.7823 0.7823 0.5000  2 Pt 2.52, 1 Al 2.65, 2 Pd 2.75
Pd 0.1462 0.8538 0.2500  5 Al 2.75-2.90, 2 Nd 2.95
Pd 0.8538 0.1462 0.7500  5 Al 2.75-2.90, 2 Nd 2.95
Pt 0.4122 0.5878 0.7500  4 Al 2.52, 1 Nd 2.77
Pt 0.5878 0.4122 0.2500  4 Al 2.52, 1 Nd 2.77

Calculated values
Crystal system   orthorhombic
Calculated formation energy   -0.666 eV/atom
M_tot   0.0 μB/f.u.



The following is a DFT calculation (PBE) of an optimized crystal structure of Nd2Al3PdPt4.

Lattice parameters (Å, degrees): 4.1206 4.1206 11.3201 90.00 90.00 90.00
With the nearest neighbours (Å) after each atom.
Positions (direct):
Nd 0.0000 0.5000 0.2424  4 Pt 3.08, 6 Al 3.27-3.43, 2 Pd 3.43
Nd 0.5000 0.0000 0.7576  4 Pt 3.08, 6 Al 3.27-3.43, 2 Pd 3.43
Al 0.0000 0.0000 0.0000  4 Pt 2.71, 4 Pd 2.91
Al 0.0000 0.5000 0.6266  5 Pt 2.47-2.51
Al 0.5000 0.0000 0.3734  5 Pt 2.47-2.51
Pd 0.5000 0.5000 0.0000  4 Pt 2.71, 4 Al 2.91
Pt 0.0000 0.0000 0.5000  4 Al 2.51
Pt 0.0000 0.5000 0.8445  3 Al 2.47-2.71, 2 Pd 2.71
Pt 0.5000 0.0000 0.1555  3 Al 2.47-2.71, 2 Pd 2.71
Pt 0.5000 0.5000 0.5000  4 Al 2.51

Calculated values
Crystal system   tetragonal
Calculated formation energy   -1.029 eV/atom
M_tot   0.0 μB/f.u.



The following is a DFT calculation (PBE) of an optimized crystal structure of Nd2Al4Pd3Pt.

Lattice parameters (Å, degrees): 4.3742 4.3742 10.1330 90.00 90.00 90.00
With the nearest neighbours (Å) after each atom.
Positions (direct):
Nd 0.0000 0.5000 0.2481  2 Pt 3.33, 6 Pd 3.33, 8 Al 3.34-3.36
Nd 0.5000 0.0000 0.7519  2 Pt 3.33, 6 Pd 3.33, 8 Al 3.34-3.36
Al 0.0000 0.0000 0.5000  4 Pd 2.55
Al 0.0000 0.5000 0.8750  3 Pd 2.49-2.53, 2 Pt 2.53
Al 0.5000 0.0000 0.1250  3 Pd 2.49-2.53, 2 Pt 2.53
Al 0.5000 0.5000 0.5000  4 Pd 2.55
Pd 0.0000 0.0000 0.0000  4 Al 2.53
Pd 0.0000 0.5000 0.6294  5 Al 2.49-2.55
Pd 0.5000 0.0000 0.3706  5 Al 2.49-2.55
Pt 0.5000 0.5000 0.0000  4 Al 2.53

Calculated values
Crystal system   tetragonal
Calculated formation energy   -0.916 eV/atom
M_tot   0.0 μB/f.u.



The following is a DFT calculation (PBE) of an optimized crystal structure of NdAl2Pd2Pt.

Lattice parameters (Å, degrees): 4.6906 4.6906 5.6427 90.00 90.00 90.00
With the nearest neighbours (Å) after each atom.
Positions (direct):
Nd 0.0000 0.0000 0.0000  2 Pt 2.82
Al 0.0000 0.5000 0.5000  2 Pt 2.35
Al 0.5000 0.0000 0.5000  2 Pt 2.35
Pd 0.5000 0.5000 0.2449  4 Al 2.75, 2 Pd 2.76-2.88
Pd 0.5000 0.5000 0.7551  4 Al 2.75, 2 Pd 2.76-2.88
Pt 0.0000 0.0000 0.5000  4 Al 2.35

Calculated values
Crystal system   tetragonal
Calculated formation energy   -0.659 eV/atom
M_tot   0.0 μB/f.u.



The following is a DFT calculation (PBE) of an optimized crystal structure of Nd2Al4Pd3Rh.

Lattice parameters (Å, degrees): 4.3447 4.3447 10.1430 90.00 90.00 90.00
With the nearest neighbours (Å) after each atom.
Positions (direct):
Nd 0.0000 0.5000 0.2459  2 Rh 3.31, 6 Pd 3.31-3.32, 8 Al 3.32-3.37
Nd 0.5000 0.0000 0.7541  2 Rh 3.31, 6 Pd 3.31-3.32, 8 Al 3.32-3.37
Al 0.0000 0.0000 0.5000  4 Pd 2.55
Al 0.0000 0.5000 0.8771  3 Pd 2.50, 2 Rh 2.50
Al 0.5000 0.0000 0.1229  3 Pd 2.50, 2 Rh 2.50
Al 0.5000 0.5000 0.5000  4 Pd 2.55
Pd 0.0000 0.0000 0.0000  4 Al 2.50
Pd 0.0000 0.5000 0.6310  5 Al 2.50-2.55
Pd 0.5000 0.0000 0.3690  5 Al 2.50-2.55
Rh 0.5000 0.5000 0.0000  4 Al 2.50

Calculated values
Crystal system   tetragonal
Calculated formation energy   -0.869 eV/atom
M_tot   0.0 μB/f.u.



The following is a DFT calculation (PBE) of an optimized crystal structure of NdAl4Pd2Rh.

Lattice parameters (Å, degrees): 9.3324 9.3324 9.3324 26.43 26.43 26.43
With the nearest neighbours (Å) after each atom.
Positions (direct):
Nd 0.0000 0.0000 0.0000  6 Al 3.14
Al 0.1342 0.1342 0.1342  3 Rh 2.61, 4 Pd 2.62-2.66
Al 0.4054 0.4054 0.4054  1 Rh 2.55, 3 Pd 2.58
Al 0.5946 0.5946 0.5946  1 Rh 2.55, 3 Pd 2.58
Al 0.8658 0.8658 0.8658  3 Rh 2.61, 4 Pd 2.62-2.66
Pd 0.2327 0.2327 0.2327  7 Al 2.58-2.66
Pd 0.7673 0.7673 0.7673  7 Al 2.58-2.66
Rh 0.5000 0.5000 0.5000  8 Al 2.55-2.61

Calculated values
Crystal system   trigonal
Calculated formation energy   -0.814 eV/atom
M_tot   0.0 μB/f.u.



The following is a DFT calculation (PBE) of an optimized crystal structure of Nd2Al5PdRh2.

Lattice parameters (Å, degrees): 10.1167 10.1167 3.6823 90.00 90.00 90.00
With the nearest neighbours (Å) after each atom.
Positions (direct):
Nd 0.1867 0.3133 0.0000  3 Rh 2.84-3.14
Nd 0.3133 0.8133 0.0000  3 Rh 2.84-3.14
Nd 0.6867 0.1867 0.0000  3 Rh 2.84-3.14
Nd 0.8133 0.6867 0.0000  3 Rh 2.84-3.14
Al 0.0000 0.5000 0.5000  4 Rh 2.47
Al 0.0492 0.8034 0.5000  2 Rh 2.73, 2 Pd 2.76, 2 Al 2.90
Al 0.1966 0.0492 0.5000  2 Rh 2.73, 2 Pd 2.76, 2 Al 2.90
Al 0.3034 0.5492 0.5000  2 Rh 2.73, 2 Pd 2.76, 2 Al 2.90
Al 0.4508 0.3034 0.5000  2 Rh 2.73, 2 Pd 2.76, 2 Al 2.90
Al 0.5000 0.0000 0.5000  4 Rh 2.47
Al 0.5492 0.6966 0.5000  2 Rh 2.73, 2 Pd 2.76, 2 Al 2.90
Al 0.6966 0.4508 0.5000  2 Rh 2.73, 2 Pd 2.76, 2 Al 2.90
Al 0.8034 0.9508 0.5000  2 Rh 2.73, 2 Pd 2.76, 2 Al 2.90
Al 0.9508 0.1966 0.5000  2 Rh 2.73, 2 Pd 2.76, 2 Al 2.90
Pd 0.0000 0.0000 0.0000  8 Al 2.76
Pd 0.5000 0.5000 0.0000  8 Al 2.76
Rh 0.1150 0.6150 0.0000  6 Al 2.47-2.73
Rh 0.3850 0.1150 0.0000  6 Al 2.47-2.73
Rh 0.6150 0.8850 0.0000  6 Al 2.47-2.73
Rh 0.8850 0.3850 0.0000  6 Al 2.47-2.73

Calculated values
Crystal system   tetragonal
Calculated formation energy   -0.640 eV/atom
M_tot   0.0 μB/f.u.



The following is a DFT calculation (PBE) of an optimized crystal structure of Nd2Al5PdRu2.

Lattice parameters (Å, degrees): 10.8172 10.8172 3.1395 90.00 90.00 90.00
With the nearest neighbours (Å) after each atom.
Positions (direct):
Nd 0.1856 0.3144 0.0000  1 Ru 2.87, 2 Nd 3.14
Nd 0.3144 0.8144 0.0000  1 Ru 2.87, 2 Nd 3.14
Nd 0.6856 0.1856 0.0000  1 Ru 2.87, 2 Nd 3.14
Nd 0.8144 0.6856 0.0000  1 Ru 2.87, 2 Nd 3.14
Al 0.0000 0.5000 0.5000  4 Ru 2.50
Al 0.0513 0.8050 0.5000  2 Ru 2.62, 2 Pd 2.69
Al 0.1950 0.0513 0.5000  2 Ru 2.62, 2 Pd 2.69
Al 0.3050 0.5513 0.5000  2 Ru 2.62, 2 Pd 2.69
Al 0.4487 0.3050 0.5000  2 Ru 2.62, 2 Pd 2.69
Al 0.5000 0.0000 0.5000  4 Ru 2.50
Al 0.5513 0.6950 0.5000  2 Ru 2.62, 2 Pd 2.69
Al 0.6950 0.4487 0.5000  2 Ru 2.62, 2 Pd 2.69
Al 0.8050 0.9487 0.5000  2 Ru 2.62, 2 Pd 2.69
Al 0.9487 0.1950 0.5000  2 Ru 2.62, 2 Pd 2.69
Pd 0.0000 0.0000 0.0000  8 Al 2.69
Pd 0.5000 0.5000 0.0000  8 Al 2.69
Ru 0.1270 0.6270 0.0000  6 Al 2.50-2.62
Ru 0.3730 0.1270 0.0000  6 Al 2.50-2.62
Ru 0.6270 0.8730 0.0000  6 Al 2.50-2.62
Ru 0.8730 0.3730 0.0000  6 Al 2.50-2.62

Calculated values
Crystal system   tetragonal
Calculated formation energy   -0.490 eV/atom
M_tot   0.0 μB/f.u.



The following is a DFT calculation (PBE) of an optimized crystal structure of Nd2ScAl3Pd4.

Lattice parameters (Å, degrees): 4.3357 4.3357 10.7384 90.00 90.00 90.00
With the nearest neighbours (Å) after each atom.
Positions (direct):
Nd 0.0000 0.5000 0.2367  6 Al 3.31-3.56, 8 Pd 3.32-3.34, 2 Sc 3.56
Nd 0.5000 0.0000 0.7633  6 Al 3.31-3.56, 8 Pd 3.32-3.34, 2 Sc 3.56
Sc 0.0000 0.0000 0.5000  4 Pd 2.67
Al 0.0000 0.5000 0.8793  5 Pd 2.52-2.53
Al 0.5000 0.0000 0.1207  5 Pd 2.52-2.53
Al 0.5000 0.5000 0.5000  4 Pd 2.67
Pd 0.0000 0.0000 0.0000  4 Al 2.53
Pd 0.0000 0.5000 0.6450  3 Al 2.52-2.67, 2 Sc 2.67
Pd 0.5000 0.0000 0.3550  3 Al 2.52-2.67, 2 Sc 2.67
Pd 0.5000 0.5000 0.0000  4 Al 2.53

Calculated values
Crystal system   tetragonal
Calculated formation energy   -0.832 eV/atom
M_tot   0.0 μB/f.u.



The following is a DFT calculation (PBE) of an optimized crystal structure of NdScAl2Pd5.

Lattice parameters (Å, degrees): 4.1913 4.1913 9.3384 90.00 90.00 90.00
With the nearest neighbours (Å) after each atom.
Positions (direct):
Nd 0.0000 0.0000 0.0000  12 Pd 2.96-3.01
Sc 0.0000 0.0000 0.5000  8 Al 3.22, 8 Pd 3.27
Al 0.5000 0.5000 0.3659  4 Pd 2.44, 1 Al 2.50
Al 0.5000 0.5000 0.6341  4 Pd 2.44, 1 Al 2.50
Pd 0.0000 0.5000 0.2316  2 Al 2.44
Pd 0.0000 0.5000 0.7684  2 Al 2.44
Pd 0.5000 0.0000 0.2316  2 Al 2.44
Pd 0.5000 0.0000 0.7684  2 Al 2.44
Pd 0.5000 0.5000 0.0000  4 Nd 2.96, 8 Pd 3.01

Calculated values
Crystal system   tetragonal
Calculated formation energy   -0.730 eV/atom
M_tot   0.0 μB/f.u.